Here is a relaxed structure of MgSbOs2 from the Alexandria database. Energies are from PBE-GGA.

Its size of the total moment is 0.000 μB/atom. The uncorrected formation energy is 449 meV/atom. The value obtained for the total energy is -6.60 eV/atom.

The structure belongs to space group I-4m2 (No. 119); the cell edges are 3.940, 3.940 and 8.432 Å and the angles 90.00°, 90.00° and 90.00°. The inequivalent atoms are Mg at (0.000, 0.000, 0.000), Sb at (0.000, 0.500, 0.250), Os at (0.000, 0.000, 0.500) and Os at (0.000, 0.500, 0.750).